Entry 1:
VASP calculation (GGA-PBE) on an optimized crystal structure of SrYAg2.

Energy above the lowest structure with this stoichiometry: 0.043 eV/atom
DFT formation energy: -0.25 eV/atom
Electronic total energy: -14.84 eV for the cell shown

Cell lengths 5.3741, 5.3741, 3.6868 Å; angles 90.00, 90.00, 90.00 degrees
Last column: nearest neighbours and their distance in Å.
Space group P4/mmm (No. 123)
Symmetry-distinct sites (fractional):
Sr: 0.0000 0.0000 0.0000 [1 per cell]  8 Ag 3.26
Y: 0.5000 0.5000 0.0000 [1 per cell]  8 Ag 3.26
Ag: 0.0000 0.5000 0.5000 [2 per cell]  4 Sr 3.26, 4 Y 3.26

***

Entry 2:
VASP calculation (GGA-PBE) on an optimized crystal structure of Sm4Hg2Ge.

DFT formation energy: -0.40 eV/atom
Electronic total energy: -53.84 eV for the cell shown

Cell lengths 7.2940, 10.6135, 5.2500 Å; angles 90.00, 90.00, 90.00 degrees
Last column: nearest neighbours and their distance in Å.
Space group Cmmm (No. 65)
Symmetry-distinct sites (fractional):
Sm: 0.2409 0.0000 0.0000 [4 per cell]  4 Hg 3.14-3.31, 2 Ge 3.16, 1 Sm 3.51
Sm: 0.2500 0.2500 0.5000 [4 per cell]  4 Hg 3.20, 2 Ge 3.22
Hg: 0.0000 0.2638 0.0000 [4 per cell]  8 Sm 3.14-3.31
Ge: 0.0000 0.0000 0.5000 [2 per cell]  8 Sm 3.16-3.22

***

Entry 3:
VASP calculation (GGA-PBE) on an optimized crystal structure of Li2YTe.

Energy above the lowest structure with this stoichiometry: 0.000 eV/atom
Electronic total energy: -15.78 eV for the cell shown

Cell lengths 4.3704, 4.3704, 4.8094 Å; angles 90.00, 90.00, 90.00 degrees
Last column: nearest neighbours and their distance in Å.
Space group P4/mmm (No. 123)
Symmetry-distinct sites (fractional):
Li: 0.0000 0.5000 0.0000 [2 per cell]  4 Li 3.09, 4 Te 3.25, 4 Y 3.25
Y: 0.0000 0.0000 0.5000 [1 per cell]  4 Te 3.09, 8 Li 3.25
Te: 0.5000 0.5000 0.5000 [1 per cell]  4 Y 3.09, 8 Li 3.25

***

Number 1: magnetic moment 0.000 μB/f.u.. Number 2: magnetic moment 0.019 μB/f.u.. Number 3: magnetic moment 0.000 μB/f.u..